# AgAsS4 | Alexandria | PBE | relaxed
data_AgAsS4
_space_group_name_H-M_alt 'C 1 2/c 1'
_space_group_IT_number 15
_cell_length_a 4.7560
_cell_length_b 22.8611
_cell_length_c 6.9569
_cell_angle_alpha 90.00
_cell_angle_beta 92.75
_cell_angle_gamma 90.00
loop_
_space_group_symop_operation_xyz
'x,y,z'
'-x,-y,-z'
'-x,y,-z+1/2'
'x,-y,z+1/2'
'x+1/2,y+1/2,z'
'-x+1/2,-y+1/2,-z'
'-x+1/2,y+1/2,-z+1/2'
'x+1/2,-y+1/2,z+1/2'
loop_
_atom_site_label
_atom_site_type_symbol
_atom_site_fract_x
_atom_site_fract_y
_atom_site_fract_z
_atom_site_occupancy
Ag1 Ag 0.0000 0.1273 0.2500 1
As1 As 0.0000 0.4943 0.2500 1
S1 S 0.1740 0.2885 0.6804 1
S2 S 0.2293 0.4430 0.9478 1
# DFT total energy (eV/atom): -3.84
# Energy above the lowest structure with this stoichiometry (meV/atom): 0.0
# DOS(E_F) (states/eV per atom): 0.41
# E_form (uncorrected) (eV/atom): 0.17